The following is a PBE-GGA calculation of crystalline Ce2UF11 at its relaxed geometry, from the Alexandria database.

Computed properties:
For the total energy, the calculation gives -6.924 eV/atom. The value obtained for the formation energy from raw total energies is -3.80 eV per atom.

Cell lengths 8.411, 10.649, 11.249 Å; angles 90.00, 90.00, 90.00 degrees
Space group Ibam (No. 72)
Inequivalent atoms, fractional coordinates:
Ce  0.143  0.181  0.000 [8 per cell]
U  0.000  0.500  0.250 [4 per cell]
F  0.000  0.000  0.000 [4 per cell]
F  0.090  0.333  0.143 [16 per cell]
F  0.128  0.217  0.500 [8 per cell]
F  0.212  0.429  0.359 [16 per cell]